[1]
# BaFeOs

A geometry-optimized BaFeOs structure (PBE-GGA, Alexandria via LeMat-Bulk).

Results
E above lowest polymorph: 0.000 eV per atom
Calculated formation energy: 33.4 kJ/mol of atoms

Cell and atoms, written as POSCAR:
```
BaFeOs
1.0
-7.147 1.083 -5.921
1.834 -2.491 -2.878
-1.913 -3.364 1.693
Fe Os Ba
2 2 2
Cartesian
-4.108 -2.863 -0.362
-3.727 -2.457 -4.395
-4.020 -4.014 -2.551
-3.814 -1.306 -2.206
-0.875 -2.733 -1.722
-6.960 -2.586 -3.036
```

***

[2]
# Y3GaSi3

A geometry-optimized Y3GaSi3 structure (PBE-GGA, Alexandria via LeMat-Bulk).

Results
ΔE_f (raw): -0.758 eV per atom

Cell and atoms, written as POSCAR:
```
Y3GaSi3
1.0
3.815 0.000 -0.832
-0.208 4.114 -0.956
0.051 0.011 9.391
Y Si Ga
3 3 1
Cartesian
1.059 3.354 4.853
2.590 0.761 2.711
0.014 0.016 0.066
0.444 2.668 2.033
2.052 2.334 0.246
3.207 1.450 5.540
1.606 1.791 7.361
```

***

[3]
# Pm3Nd6Y2Ho

A geometry-optimized Pm3Nd6Y2Ho structure (PBE-GGA, Alexandria via LeMat-Bulk).

Results
Calculated formation energy: 1.2 kJ/mol of atoms

Cell and atoms, written as POSCAR:
```
Pm3Nd6Y2Ho
1.0
-6.269 -0.090 0.836
2.580 -3.030 -4.916
2.246 -8.747 7.925
Y Nd Pm Ho
2 6 3 1
Cartesian
-3.319 -1.070 -1.081
-0.369 -2.050 -2.999
-1.834 -2.452 1.899
-2.550 -8.438 3.858
0.770 -7.363 4.948
1.107 -3.429 -0.012
0.391 -9.415 1.946
-2.213 -4.504 -1.103
-0.722 -5.934 1.923
2.229 -6.914 0.005
-3.672 -4.953 3.841
0.000 0.000 0.000
```

***

[4]
# Ba3Nd2SmTe6

A geometry-optimized Ba3Nd2SmTe6 structure (PBE-GGA, Alexandria via LeMat-Bulk).

Results
ΔE_f (raw): -1.575 eV per atom

Cell and atoms, written as POSCAR:
```
Ba3Nd2SmTe6
1.0
8.059 0.005 0.001
-4.023 6.983 0.001
-1.345 -2.329 7.892
Ba Nd Te Sm
3 2 6 1
Cartesian
-2.669 4.648 3.947
5.360 0.011 3.947
1.345 2.330 3.947
0.009 4.654 0.001
4.027 2.334 0.001
-1.331 2.308 1.762
4.022 2.351 6.133
2.702 4.679 1.772
0.027 4.658 6.133
-0.011 -0.019 6.123
2.664 0.001 1.762
0.000 0.000 0.000
```